A plane-wave DFT calculation with GGA-PBE was carried out for a relaxed structure of Li6Tc4O11.

Structure (CIF):
```
data_Li6Tc4O11
_chemical_formula_sum 'Li6 Tc4 O11'
_space_group_name_H-M_alt 'P 1'
_space_group_IT_number 1
_space_group_name_Hall 'P 1'
_cell_length_a 9.984
_cell_length_b 4.897
_cell_length_c 5.064
_cell_angle_alpha 98.17
_cell_angle_beta 97.18
_cell_angle_gamma 119.20
loop_
_atom_site_label
_atom_site_fract_x
_atom_site_fract_y
_atom_site_fract_z
_atom_site_occupancy
Li1 0.166 0.670 0.500 1
Li2 0.687 0.668 0.510 1
Tc1 0.570 0.854 0.004 1
Tc2 0.431 0.155 0.990 1
O1 0.130 0.267 0.261 1
Li3 0.836 0.329 0.500 1
Li4 0.750 0.492 0.998 1
O2 0.722 0.064 0.779 1
O3 0.775 0.908 0.225 1
O4 0.376 0.747 0.739 1
O5 0.224 0.097 0.787 1
O6 0.877 0.741 0.745 1
Li5 0.320 0.316 0.512 1
Li6 0.235 0.499 0.971 1
O7 0.281 0.939 0.223 1
Tc3 0.928 0.137 0.005 1
O8 0.620 0.247 0.260 1
O9 0.956 0.558 0.223 1
O10 0.544 0.445 0.765 1
Tc4 0.071 0.863 0.006 1
O11 0.041 0.443 0.780 1
```

The calculation puts the raw total energy at -6.7020 eV per atom. The value obtained for the total magnetization is 0.07 μB per atom. For the calculated volume, the calculation gives 208.4 Å³ per cell.

***

A plane-wave DFT calculation with GGA-PBE was carried out for a relaxed structure of ErTm2Cd3CuAu2.

Structure (CIF):
```
data_ErTm2Cd3CuAu2
_chemical_formula_sum 'Er1 Tm2 Cd3 Cu1 Au2'
_space_group_name_H-M_alt 'P 1'
_space_group_IT_number 1
_space_group_name_Hall 'P 1'
_cell_length_a 3.828
_cell_length_b 7.630
_cell_length_c 7.630
_cell_angle_alpha 120.04
_cell_angle_beta 90.00
_cell_angle_gamma 90.00
loop_
_atom_site_label
_atom_site_fract_x
_atom_site_fract_y
_atom_site_fract_z
_atom_site_occupancy
Tm1 0.000 0.409 0.000 1
Cd1 0.500 0.000 0.754 1
Er1 0.000 0.591 0.591 1
Cu1 0.000 0.001 0.001 1
Cd2 0.500 0.754 0.000 1
Au1 0.500 0.333 0.667 1
Tm2 0.000 0.000 0.409 1
Cd3 0.500 0.246 0.246 1
Au2 0.500 0.667 0.333 1
```

The calculation puts the raw total energy at -3.5091 eV per atom. The value obtained for the total magnetization is 0.00 μB per atom. For the calculated volume, the calculation gives 192.9 Å³ per cell. As for the formation energy: -570 meV/atom.

***

A plane-wave DFT calculation with GGA-PBE was carried out for a relaxed structure of In2OsAu.

Structure (CIF):
```
data_In2OsAu
_chemical_formula_sum 'In2 Os1 Au1'
_space_group_name_H-M_alt 'P 1'
_space_group_IT_number 1
_space_group_name_Hall 'P 1'
_cell_length_a 4.719
_cell_length_b 4.719
_cell_length_c 4.719
_cell_angle_alpha 60.00
_cell_angle_beta 60.00
_cell_angle_gamma 60.00
loop_
_atom_site_label
_atom_site_fract_x
_atom_site_fract_y
_atom_site_fract_z
_atom_site_occupancy
Os1 0.500 0.500 0.500 1
In1 0.000 0.000 0.000 1
In2 0.750 0.750 0.750 1
Au1 0.250 0.250 0.250 1
```

The calculation puts the raw total energy at -4.3964 eV per atom. The value obtained for the total magnetization is 0.00 μB per atom. For the calculated volume, the calculation gives 74.3 Å³ per cell.